[1]
This record from Alexandria describes a relaxed HgPt2Rh crystal. The functional is PBE.

**ρ**: 17.49 g cm⁻³
**Total magnetization**: 0.0 μB per formula unit
**E_form**: 41.0 kJ/mol of formula units

a b c (Å): 4.084 4.084 7.896
angles (deg): 90.00 90.00 90.00
Space group I-4m2 (No. 119)
Asymmetric unit:
Hg 0.000 0.000 0.000 [2 per cell]
Pt 0.000 0.000 0.500 [2 per cell]
Pt 0.000 0.500 0.750 [2 per cell]
Rh 0.000 0.500 0.250 [2 per cell]

[2]
This record from Alexandria describes a relaxed InCuTcB2 crystal. The functional is PBE.

**ρ**: 6.04 g cm⁻³
**Total magnetization**: 0.0 μB per formula unit
**E_form**: 461.6 kJ/mol of formula units

a b c (Å): 4.073 4.073 4.935
angles (deg): 90.00 90.00 90.00
Space group P4/mmm (No. 123)
Asymmetric unit:
In 0.000 0.000 0.000 [1 per cell]
Cu 0.500 0.500 0.000 [1 per cell]
Tc 0.500 0.500 0.500 [1 per cell]
B 0.000 0.500 0.500 [2 per cell]

[3]
This record from Alexandria describes a relaxed RbHfCu2S4 crystal. The functional is PBE.

**ρ**: 3.97 g cm⁻³
**Formation energy from raw total energies**: -0.80 eV/atom
**Total magnetization**: 0.0 μB per formula unit

a b c (Å): 6.087 8.070 8.846
angles (deg): 90.00 90.00 90.00
Space group I222 (No. 23)
Asymmetric unit:
Rb 0.000 0.000 0.000 [2 per cell]
Hf 0.000 0.000 0.500 [2 per cell]
Cu 0.000 0.500 0.137 [4 per cell]
S 0.228 0.171 0.342 [8 per cell]